Below is CaIr2Rh2 after structural relaxation, with properties calculated at the GGA-PBEsol level.

## Properties
Total moment (Bohr magnetons per cell): 0.00
Fermi-level density of states (states/eV/cell): 6.938
Formation energy (eV/atom): 0.049
Final energy (eV per atom): -7.562

Cell lengths 4.0497, 4.0497, 6.0979 Å; angles 109.39, 109.39, 90.00 degrees
Closest atoms and distances in Å follow each position.
Fractional coordinates of all 5 atoms:
Ir 0.3928 0.3928 0.7857  1 Ir 2.31, 4 Rh 2.54
Ir 0.6072 0.6072 0.2143  1 Ir 2.31, 4 Rh 2.54
Rh 0.7500 0.2500 0.5000  4 Ir 2.54
Rh 0.2500 0.7500 0.5000  4 Ir 2.54
Ca 0.0000 0.0000 0.0000  8 Ir 3.09, 8 Rh 3.37

Below is CaIr2Rh after structural relaxation, with properties calculated at the GGA-PBEsol level.

## Properties
Total moment (Bohr magnetons per cell): 0.00
Fermi-level density of states (states/eV/cell): 3.170
Formation energy (eV/atom): 0.021
Energy above the most stable polymorph in this dataset (eV per atom): 0.0000
Final energy (eV per atom): -7.459

Cell lengths 2.7769, 4.8424, 5.0399 Å; angles 99.65, 90.00, 106.66 degrees
Closest atoms and distances in Å follow each position.
Fractional coordinates of all 4 atoms:
Ir 0.2496 0.4992 0.7786  5 Ir 2.63-2.78, 2 Rh 2.75, 4 Ca 2.83-2.93
Ir 0.9892 0.9783 0.9394  2 Rh 2.59, 5 Ir 2.63-2.78
Ca 0.7505 0.5010 0.2671  3 Rh 2.73-2.87, 2 Ca 2.78, 7 Ir 2.83-3.02
Rh 0.5108 0.0216 0.5150  4 Ir 2.59-2.75, 3 Ca 2.73-2.87, 2 Rh 2.78

Q: The highest final energy belongs to which entry?
A: CaIr2Rh